# PBE LaPm12Sm7, relaxed
# - Crystal system: cubic
# - Energy: -165.762 eV per cell
# - E above lowest polymorph: 516 meV per atom
# - Calculated density: 6.26 g cm⁻³
# - ΔE_f: 0.604 eV per atom
data_LaPm12Sm7
_chemical_formula_sum 'La2 Pm24 Sm14'
_space_group_name_H-M_alt 'I m -3'
_space_group_IT_number 204
_space_group_name_Hall '-I 2 2 3'
_cell_length_a 11.5853
_cell_length_b 11.5853
_cell_length_c 11.5853
_cell_angle_alpha 90.00
_cell_angle_beta 90.00
_cell_angle_gamma 90.00
loop_
_atom_site_label
_atom_site_type_symbol
_atom_site_fract_x
_atom_site_fract_y
_atom_site_fract_z
La1 La 0.0000 0.0000 0.0000
Pm1 Pm 0.0000 0.2526 0.2536
Sm1 Sm 0.0000 0.0000 0.5000
Sm2 Sm 0.2500 0.2500 0.2500